VASP calculation (GGA-PBE) on NaErCd after structural relaxation.

Structure (POSCAR):
```
NaErCd
1.0
0.000 3.611 3.611
3.611 0.000 3.611
3.611 3.611 0.000
Na Er Cd
1 1 1
Direct
0.000 0.000 0.000 Na
0.750 0.750 0.750 Er
0.500 0.500 0.500 Cd
```

Summary:
- Space group: F-43m
- DFT total energy: -5.24 eV for the cell shown
- Energy above the most stable polymorph in this dataset: 0.77 eV per formula unit

VASP calculation (GGA-PBE) on NaErCd after structural relaxation.

Structure (POSCAR):
```
NaErCd
1.0
0.000 3.563 3.563
3.563 0.000 3.563
3.563 3.563 0.000
Na Er Cd
1 1 1
Direct
0.000 0.000 0.000 Na
0.500 0.500 0.500 Er
0.750 0.750 0.750 Cd
```

Summary:
- Space group: F-43m
- DFT total energy: -6.01 eV for the cell shown
- Energy above the most stable polymorph in this dataset: 0.00 eV per formula unit

VASP calculation (GGA-PBE) on NaErCdO3 after structural relaxation.

Structure (POSCAR):
```
NaErCdO3
1.0
1.761 -6.021 0.000
1.761 6.021 0.000
0.000 0.000 8.841
Na Er Cd O
2 2 2 6
Direct
0.151 0.849 0.750 Na
0.849 0.151 0.250 Na
0.500 0.500 0.000 Er
0.500 0.500 0.500 Er
0.125 0.875 0.250 Cd
0.875 0.125 0.750 Cd
0.120 0.880 0.016 O
0.120 0.880 0.484 O
0.481 0.519 0.250 O
0.519 0.481 0.750 O
0.880 0.120 0.516 O
0.880 0.120 0.984 O
```

Summary:
- Space group: Cmcm
- DFT total energy: -67.36 eV for the cell shown